[1]
# AcCeTm2 GGA-PBE optimized geometry
# Raw total energy, eV/atom: -4.527
# Magnetization, μB/f.u.: 0.12
data_AcCeTm2
_chemical_formula_sum 'Ac3 Ce3 Tm6'
_cell_length_a 3.5276
_cell_length_b 3.5276
_cell_length_c 37.3247
_cell_angle_alpha 90.00
_cell_angle_beta 90.00
_cell_angle_gamma 120.00
_symmetry_space_group_name_H-M 'R -3 m'
_symmetry_Int_Tables_number 166
_symmetry_space_group_name_Hall '-R 3 2"'
loop_
_atom_site_label
_atom_site_type_symbol
_atom_site_fract_x
_atom_site_fract_y
_atom_site_fract_z
Ac1 Ac 0.0000 0.0000 0.0000
Ce1 Ce 0.0000 0.0000 0.5000
Tm1 Tm 0.0000 0.0000 0.0939

[2]
# AcCeTm2 GGA-PBE optimized geometry
# Raw total energy, eV/atom: -4.629
# Magnetization, μB/f.u.: 0.81
data_AcCeTm2
_chemical_formula_sum 'Ac1 Ce1 Tm2'
_cell_length_a 5.219
_cell_length_b 5.219
_cell_length_c 4.923
_cell_angle_alpha 90.00
_cell_angle_beta 90.00
_cell_angle_gamma 90.00
_symmetry_space_group_name_H-M 'P 4/m m m'
_symmetry_Int_Tables_number 123
_symmetry_space_group_name_Hall '-P 4 2'
loop_
_atom_site_label
_atom_site_type_symbol
_atom_site_fract_x
_atom_site_fract_y
_atom_site_fract_z
Ac1 Ac 0.000 0.000 0.000
Ce1 Ce 0.500 0.500 0.000
Tm1 Tm 0.000 0.500 0.500

[3]
# AcCeTm2 GGA-PBE optimized geometry
# Raw total energy, eV/atom: -4.629
# Magnetization, μB/f.u.: 0.67
data_AcCeTm2
_chemical_formula_sum 'Ac3 Ce3 Tm6'
_cell_length_a 3.6329
_cell_length_b 3.6329
_cell_length_c 35.0036
_cell_angle_alpha 90.00
_cell_angle_beta 90.00
_cell_angle_gamma 120.00
_symmetry_space_group_name_H-M 'R 3 m'
_symmetry_Int_Tables_number 160
_symmetry_space_group_name_Hall 'R 3 -2"'
loop_
_atom_site_label
_atom_site_type_symbol
_atom_site_fract_x
_atom_site_fract_y
_atom_site_fract_z
Ac1 Ac 0.0000 0.0000 0.0000
Ce1 Ce 0.0000 0.0000 0.1660
Tm1 Tm 0.0000 0.0000 0.5780
Tm2 Tm 0.0000 0.0000 0.7543

[4]
# AcCeYTm GGA-PBE optimized geometry
# Raw total energy, eV/atom: -5.071
# Magnetization, μB/f.u.: 0.65
data_AcCeYTm
_chemical_formula_sum 'Ac4 Ce4 Y4 Tm4'
_cell_length_a 8.228
_cell_length_b 8.228
_cell_length_c 8.228
_cell_angle_alpha 90.00
_cell_angle_beta 90.00
_cell_angle_gamma 90.00
_symmetry_space_group_name_H-M 'F -4 3 m'
_symmetry_Int_Tables_number 216
_symmetry_space_group_name_Hall 'F -4 2 3'
loop_
_atom_site_label
_atom_site_type_symbol
_atom_site_fract_x
_atom_site_fract_y
_atom_site_fract_z
Ac1 Ac 0.000 0.000 0.000
Ce1 Ce 0.000 0.000 0.500
Y1 Y 0.250 0.250 0.750
Tm1 Tm 0.250 0.250 0.250

[5]
# Ac2CeY GGA-PBE optimized geometry
# Raw total energy, eV/atom: -5.032
# Magnetization, μB/f.u.: 1.12
data_Ac2CeY
_chemical_formula_sum 'Ac2 Ce1 Y1'
_cell_length_a 5.386
_cell_length_b 5.386
_cell_length_c 5.214
_cell_angle_alpha 90.00
_cell_angle_beta 90.00
_cell_angle_gamma 90.00
_symmetry_space_group_name_H-M 'P 4/m m m'
_symmetry_Int_Tables_number 123
_symmetry_space_group_name_Hall '-P 4 2'
loop_
_atom_site_label
_atom_site_type_symbol
_atom_site_fract_x
_atom_site_fract_y
_atom_site_fract_z
Ac1 Ac 0.000 0.500 0.000
Ce1 Ce 0.000 0.000 0.500
Y1 Y 0.500 0.500 0.500

[6]
# AcCeY14 GGA-PBE optimized geometry
# Raw total energy, eV/atom: -6.236
# Magnetization, μB/f.u.: 1.17
data_AcCeY14
_chemical_formula_sum 'Ac1 Ce1 Y14'
_cell_length_a 7.210
_cell_length_b 7.210
_cell_length_c 10.172
_cell_angle_alpha 90.00
_cell_angle_beta 90.00
_cell_angle_gamma 90.00
_symmetry_space_group_name_H-M 'P 4/m m m'
_symmetry_Int_Tables_number 123
_symmetry_space_group_name_Hall '-P 4 2'
loop_
_atom_site_label
_atom_site_type_symbol
_atom_site_fract_x
_atom_site_fract_y
_atom_site_fract_z
Ac1 Ac 0.000 0.000 0.000
Ce1 Ce 0.500 0.500 0.000
Y1 Y 0.000 0.000 0.500
Y2 Y 0.000 0.500 0.000
Y3 Y 0.000 0.500 0.500
Y4 Y 0.253 0.253 0.253
Y5 Y 0.500 0.500 0.500

[7]
# Ac2CeY GGA-PBE optimized geometry
# Raw total energy, eV/atom: -4.945
# Magnetization, μB/f.u.: 2.64
data_Ac2CeY
_chemical_formula_sum 'Ac8 Ce4 Y4'
_cell_length_a 8.509
_cell_length_b 8.509
_cell_length_c 8.509
_cell_angle_alpha 90.00
_cell_angle_beta 90.00
_cell_angle_gamma 90.00
_symmetry_space_group_name_H-M 'F m -3 m'
_symmetry_Int_Tables_number 225
_symmetry_space_group_name_Hall '-F 4 2 3'
loop_
_atom_site_label
_atom_site_type_symbol
_atom_site_fract_x
_atom_site_fract_y
_atom_site_fract_z
Ac1 Ac 0.250 0.250 0.250
Ce1 Ce 0.000 0.000 0.000
Y1 Y 0.000 0.000 0.500

[8]
# AcCe4Y GGA-PBE optimized geometry
# Raw total energy, eV/atom: -5.527
# Magnetization, μB/f.u.: 3.91
data_AcCe4Y
_chemical_formula_sum 'Ac4 Ce16 Y4'
_cell_length_a 9.108
_cell_length_b 9.108
_cell_length_c 9.108
_cell_angle_alpha 90.00
_cell_angle_beta 90.00
_cell_angle_gamma 90.00
_symmetry_space_group_name_H-M 'F -4 3 m'
_symmetry_Int_Tables_number 216
_symmetry_space_group_name_Hall 'F -4 2 3'
loop_
_atom_site_label
_atom_site_type_symbol
_atom_site_fract_x
_atom_site_fract_y
_atom_site_fract_z
Ac1 Ac 0.000 0.000 0.000
Ce1 Ce 0.119 0.119 0.381
Y1 Y 0.250 0.250 0.750

[9]
# Ac2CeY GGA-PBE optimized geometry
# Raw total energy, eV/atom: -4.875
# Magnetization, μB/f.u.: 1.53
data_Ac2CeY
_chemical_formula_sum 'Ac6 Ce3 Y3'
_cell_length_a 3.7026
_cell_length_b 3.7026
_cell_length_c 39.2140
_cell_angle_alpha 90.00
_cell_angle_beta 90.00
_cell_angle_gamma 120.00
_symmetry_space_group_name_H-M 'R -3 m'
_symmetry_Int_Tables_number 166
_symmetry_space_group_name_Hall '-R 3 2"'
loop_
_atom_site_label
_atom_site_type_symbol
_atom_site_fract_x
_atom_site_fract_y
_atom_site_fract_z
Ac1 Ac 0.0000 0.0000 0.0885
Ce1 Ce 0.0000 0.0000 0.0000
Y1 Y 0.0000 0.0000 0.5000

[10]
# AcCeY GGA-PBE optimized geometry
# Raw total energy, eV/atom: -5.379
# Magnetization, μB/f.u.: 0.78
data_AcCeY
_chemical_formula_sum 'Ac2 Ce2 Y2'
_cell_length_a 3.716
_cell_length_b 3.716
_cell_length_c 15.355
_cell_angle_alpha 90.00
_cell_angle_beta 90.00
_cell_angle_gamma 90.00
_symmetry_space_group_name_H-M 'I 4 m m'
_symmetry_Int_Tables_number 107
_symmetry_space_group_name_Hall 'I 4 -2'
loop_
_atom_site_label
_atom_site_type_symbol
_atom_site_fract_x
_atom_site_fract_y
_atom_site_fract_z
Ac1 Ac 0.000 0.000 0.000
Ce1 Ce 0.000 0.000 0.667
Y1 Y 0.000 0.000 0.320

[11]
# Ac2CeY GGA-PBE optimized geometry
# Raw total energy, eV/atom: -5.042
# Magnetization, μB/f.u.: 1.18
data_Ac2CeY
_chemical_formula_sum 'Ac2 Ce1 Y1'
_cell_length_a 3.791
_cell_length_b 3.791
_cell_length_c 10.437
_cell_angle_alpha 90.00
_cell_angle_beta 90.00
_cell_angle_gamma 90.00
_symmetry_space_group_name_H-M 'P 4/m m m'
_symmetry_Int_Tables_number 123
_symmetry_space_group_name_Hall '-P 4 2'
loop_
_atom_site_label
_atom_site_type_symbol
_atom_site_fract_x
_atom_site_fract_y
_atom_site_fract_z
Ac1 Ac 0.000 0.000 0.248
Ce1 Ce 0.500 0.500 0.000
Y1 Y 0.500 0.500 0.500

[12]
# AcCeY GGA-PBE optimized geometry
# Raw total energy, eV/atom: -5.410
# Magnetization, μB/f.u.: 0.00
data_AcCeY
_chemical_formula_sum 'Ac4 Ce4 Y4'
_cell_length_a 5.871
_cell_length_b 17.658
_cell_length_c 4.128
_cell_angle_alpha 90.00
_cell_angle_beta 90.00
_cell_angle_gamma 90.00
_symmetry_space_group_name_H-M 'C m c m'
_symmetry_Int_Tables_number 63
_symmetry_space_group_name_Hall '-C 2c 2'
loop_
_atom_site_label
_atom_site_type_symbol
_atom_site_fract_x
_atom_site_fract_y
_atom_site_fract_z
Ac1 Ac 0.000 0.224 0.250
Ce1 Ce 0.000 0.048 0.750
Y1 Y 0.000 0.415 0.750

[13]
# AcCeY GGA-PBE optimized geometry
# Raw total energy, eV/atom: -5.313
# Magnetization, μB/f.u.: 1.28
data_AcCeY
_chemical_formula_sum 'Ac1 Ce1 Y1'
_cell_length_a 5.8541
_cell_length_b 5.8541
_cell_length_c 3.6079
_cell_angle_alpha 90.00
_cell_angle_beta 90.00
_cell_angle_gamma 120.00
_symmetry_space_group_name_H-M 'P -6 m 2'
_symmetry_Int_Tables_number 187
_symmetry_space_group_name_Hall 'P -6 2'
loop_
_atom_site_label
_atom_site_type_symbol
_atom_site_fract_x
_atom_site_fract_y
_atom_site_fract_z
Ac1 Ac 0.0000 0.0000 0.0000
Ce1 Ce 0.3333 0.6667 0.0000
Y1 Y 0.6667 0.3333 0.5000

[14]
# Ac3CeZn4 GGA-PBE optimized geometry
# Raw total energy, eV/atom: -3.134
# Magnetization, μB/f.u.: 0.70
data_Ac3CeZn4
_chemical_formula_sum 'Ac3 Ce1 Zn4'
_cell_length_a 3.842
_cell_length_b 3.842
_cell_length_c 15.350
_cell_angle_alpha 90.00
_cell_angle_beta 90.00
_cell_angle_gamma 90.00
_symmetry_space_group_name_H-M 'P 4/m m m'
_symmetry_Int_Tables_number 123
_symmetry_space_group_name_Hall '-P 4 2'
loop_
_atom_site_label
_atom_site_type_symbol
_atom_site_fract_x
_atom_site_fract_y
_atom_site_fract_z
Ac1 Ac 0.000 0.000 0.000
Ac2 Ac 0.000 0.000 0.260
Ce1 Ce 0.000 0.000 0.500
Zn1 Zn 0.500 0.500 0.129
Zn2 Zn 0.500 0.500 0.394

[15]
# AcCeZn4 GGA-PBE optimized geometry
# Raw total energy, eV/atom: -2.747
# Magnetization, μB/f.u.: 2.31
data_AcCeZn4
_chemical_formula_sum 'Ac2 Ce2 Zn8'
_cell_length_a 4.312
_cell_length_b 4.312
_cell_length_c 15.641
_cell_angle_alpha 90.00
_cell_angle_beta 90.00
_cell_angle_gamma 90.00
_symmetry_space_group_name_H-M 'I -4 m 2'
_symmetry_Int_Tables_number 119
_symmetry_space_group_name_Hall 'I -4 -2'
loop_
_atom_site_label
_atom_site_type_symbol
_atom_site_fract_x
_atom_site_fract_y
_atom_site_fract_z
Ac1 Ac 0.000 0.000 0.000
Ce1 Ce 0.000 0.500 0.750
Zn1 Zn 0.000 0.000 0.413
Zn2 Zn 0.000 0.500 0.170

[16]
# Ac4CeZn5 GGA-PBE optimized geometry
# Raw total energy, eV/atom: -3.094
# Magnetization, μB/f.u.: 0.75
data_Ac4CeZn5
_chemical_formula_sum 'Ac4 Ce1 Zn5'
_cell_length_a 3.861
_cell_length_b 3.861
_cell_length_c 19.205
_cell_angle_alpha 90.00
_cell_angle_beta 90.00
_cell_angle_gamma 90.00
_symmetry_space_group_name_H-M 'P 4/m m m'
_symmetry_Int_Tables_number 123
_symmetry_space_group_name_Hall '-P 4 2'
loop_
_atom_site_label
_atom_site_type_symbol
_atom_site_fract_x
_atom_site_fract_y
_atom_site_fract_z
Ac1 Ac 0.000 0.000 0.102
Ac2 Ac 0.000 0.000 0.309
Ce1 Ce 0.000 0.000 0.500
Zn1 Zn 0.500 0.500 0.000
Zn2 Zn 0.500 0.500 0.205
Zn3 Zn 0.500 0.500 0.416

[17]
# Ac2CeZn6 GGA-PBE optimized geometry
# Raw total energy, eV/atom: -2.692
# Magnetization, μB/f.u.: 2.02
data_Ac2CeZn6
_chemical_formula_sum 'Ac2 Ce1 Zn6'
_cell_length_a 8.1079
_cell_length_b 8.1079
_cell_length_c 3.7858
_cell_angle_alpha 90.00
_cell_angle_beta 90.00
_cell_angle_gamma 120.00
_symmetry_space_group_name_H-M 'P 6/m m m'
_symmetry_Int_Tables_number 191
_symmetry_space_group_name_Hall '-P 6 2'
loop_
_atom_site_label
_atom_site_type_symbol
_atom_site_fract_x
_atom_site_fract_y
_atom_site_fract_z
Ac1 Ac 0.3333 0.6667 0.0000
Ce1 Ce 0.0000 0.0000 0.0000
Zn1 Zn 0.0000 0.3253 0.5000

[18]
# AcCeZn4 GGA-PBE optimized geometry
# Raw total energy, eV/atom: -2.752
# Magnetization, μB/f.u.: 0.52
data_AcCeZn4
_chemical_formula_sum 'Ac4 Ce4 Zn16'
_cell_length_a 8.022
_cell_length_b 8.022
_cell_length_c 8.022
_cell_angle_alpha 90.00
_cell_angle_beta 90.00
_cell_angle_gamma 90.00
_symmetry_space_group_name_H-M 'F -4 3 m'
_symmetry_Int_Tables_number 216
_symmetry_space_group_name_Hall 'F -4 2 3'
loop_
_atom_site_label
_atom_site_type_symbol
_atom_site_fract_x
_atom_site_fract_y
_atom_site_fract_z
Ac1 Ac 0.000 0.000 0.000
Ce1 Ce 0.250 0.250 0.750
Zn1 Zn 0.124 0.124 0.376

[19]
# AcCe2Zn9 GGA-PBE optimized geometry
# Raw total energy, eV/atom: -2.545
# Magnetization, μB/f.u.: 1.32
data_AcCe2Zn9
_chemical_formula_sum 'Ac3 Ce6 Zn27'
_cell_length_a 5.5469
_cell_length_b 5.5469
_cell_length_c 26.5368
_cell_angle_alpha 90.00
_cell_angle_beta 90.00
_cell_angle_gamma 120.00
_symmetry_space_group_name_H-M 'R -3 m'
_symmetry_Int_Tables_number 166
_symmetry_space_group_name_Hall '-R 3 2"'
loop_
_atom_site_label
_atom_site_type_symbol
_atom_site_fract_x
_atom_site_fract_y
_atom_site_fract_z
Ac1 Ac 0.0000 0.0000 0.0000
Ce1 Ce 0.0000 0.0000 0.1483
Zn1 Zn 0.0000 0.0000 0.3357
Zn2 Zn 0.0000 0.0000 0.5000
Zn3 Zn 0.0044 0.5022 0.9174

[20]
# AcCeZn3 GGA-PBE optimized geometry
# Raw total energy, eV/atom: -2.996
# Magnetization, μB/f.u.: 1.15
data_AcCeZn3
_chemical_formula_sum 'Ac4 Ce4 Zn12'
_cell_length_a 3.750
_cell_length_b 28.228
_cell_length_c 4.666
_cell_angle_alpha 90.00
_cell_angle_beta 90.00
_cell_angle_gamma 90.00
_symmetry_space_group_name_H-M 'C m c m'
_symmetry_Int_Tables_number 63
_symmetry_space_group_name_Hall '-C 2c 2'
loop_
_atom_site_label
_atom_site_type_symbol
_atom_site_fract_x
_atom_site_fract_y
_atom_site_fract_z
Ac1 Ac 0.000 0.074 0.250
Ce1 Ce 0.000 0.212 0.750
Zn1 Zn 0.000 0.325 0.750
Zn2 Zn 0.000 0.377 0.250
Zn3 Zn 0.000 0.476 0.250